TmAlZnO4 after structural relaxation. Source: the Alexandria database, functional PBE.

Computed properties:
Its uncorrected formation energy is -2.66 eV per atom. As for the spin magnetization: 0.00 Bohr magnetons per cell. The value obtained for the total energy is -6.85 eV/atom.

The structure in CIF format:
```
data_TmAlZnO4
_chemical_formula_sum 'Tm4 Al4 Zn4 O16'
_space_group_name_H-M_alt 'I m m a'
_space_group_IT_number 74
_space_group_name_Hall '-I 2b 2'
_cell_length_a 6.011
_cell_length_b 6.389
_cell_length_c 8.682
_cell_angle_alpha 90.00
_cell_angle_beta 90.00
_cell_angle_gamma 90.00
loop_
_atom_site_label
_atom_site_fract_x
_atom_site_fract_y
_atom_site_fract_z
Tm1 0.000 0.000 0.000
Al1 0.250 0.250 0.250
Zn1 0.000 0.250 0.618
O1 0.000 0.039 0.253
O2 0.244 0.250 0.027
```